Be2Te2Rh: PBEsol geometry, meta-GGA SCAN.

Geometry as POSCAR:
```
Be2Te2Rh
1.0
-0.963 1.237 4.667
2.051 -4.371 -0.964
3.597 2.333 -2.421
Be Te Rh
2 2 1
direct
0.000 0.658 0.658
0.000 0.342 0.342
0.500 0.750 0.250
0.500 0.250 0.750
0.000 0.000 0.000
```

Output
As for the density of states at the Fermi level: 5.16 states/eV per cell. As for the magnetic moment: 0.00 μB per formula unit. The uncorrected energy comes out at -22.94 eV/atom. The value obtained for the energy relative to the elements, uncorrected is 0.458 eV per atom.